Below is a relaxed LaHo4Tm5 crystal, with properties calculated at the PBE level.

Cell: 6.260 7.828 7.828 Å, 80.80 66.43 66.43°
Fractional coordinates of all 10 atoms:
Tm1 0.182 0.908 0.622
Tm2 0.804 0.378 0.908
Tm3 0.712 0.092 0.378
Tm4 0.682 0.000 0.000
Ho1 0.507 0.596 0.299
Ho2 0.103 0.299 0.404
Tm5 0.090 0.622 0.092
Ho3 0.401 0.404 0.701
Ho4 0.806 0.701 0.596
La1 0.224 0.000 0.000

Calculated values
DFT formation energy = 0.31 eV/atom
Fermi-level density of states = 1.427 states/eV/atom
Energy relative to the lowest polymorph listed for this composition = 286.3 meV/atom

Below is a relaxed LiMg4Rh5 crystal, with properties calculated at the PBE level.

Cell: 3.103 3.103 15.276 Å, 90.00 90.00 90.00°
Fractional coordinates of all 10 atoms:
Rh1 0.500 0.500 0.089
Rh2 0.500 0.500 0.295
Mg1 0.000 0.000 0.192
Mg2 0.000 0.000 0.398
Rh3 0.500 0.500 0.705
Mg3 0.000 0.000 0.602
Mg4 0.000 0.000 0.808
Rh4 0.500 0.500 0.911
Li1 0.000 0.000 0.000
Rh5 0.500 0.500 0.500

Calculated values
DFT formation energy = -0.36 eV/atom
Fermi-level density of states = 1.293 states/eV/atom

Below is a relaxed BaNaAl2Pt crystal, with properties calculated at the PBE level.

Cell: 4.865 4.865 5.481 Å, 90.00 90.00 90.00°
Fractional coordinates of all 5 atoms:
Al1 0.000 0.500 0.000
Na1 0.000 0.000 0.500
Ba1 0.500 0.500 0.500
Pt1 0.000 0.000 0.000
Al2 0.500 0.000 0.000

Calculated values
DFT formation energy = -0.40 eV/atom
Fermi-level density of states = 0.634 states/eV/atom

Computed values of VASP energy (unit: eV for the cell shown) for the preceding records, in sequence: -42.48; -48.61; -18.77.